Tl2HgTe | SCAN | single point on PBEsol structure

a b c (Å): 4.963 4.979 6.412
angles (deg): 112.79 90.00 119.89
Positions (direct):
Te  0.500  0.000  0.000
Tl  0.745  0.491  0.736
Hg  0.000  0.000  0.500
Tl  0.255  0.509  0.264

Output
Its uncorrected formation energy is -20.3 kJ per mole of atoms. The calculation puts the spin magnetization at 0.00 μB per atom. As for the energy above the most stable polymorph in this dataset: 0 meV/atom.


TlHg2Te | SCAN | single point on PBEsol structure

a b c (Å): 3.514 3.514 8.508
angles (deg): 90.00 90.00 90.00
Positions (direct):
Tl  0.500  0.500  0.500
Te  0.500  0.500  0.000
Hg  0.000  0.000  0.252
Hg  0.000  0.000  0.748

Output
Its uncorrected formation energy is 4.4 kJ per mole of atoms. The calculation puts the spin magnetization at 0.00 μB per atom. As for the energy above the most stable polymorph in this dataset: 102 meV/atom.


TlHgTe2 | SCAN | single point on PBEsol structure

a b c (Å): 5.363 5.363 5.363
angles (deg): 60.00 60.00 60.00
Positions (direct):
Te  0.250  0.250  0.250
Tl  0.500  0.500  0.500
Te  0.750  0.750  0.750
Hg  0.000  0.000  0.000

Output
Its uncorrected formation energy is 12.9 kJ per mole of atoms. The calculation puts the spin magnetization at 0.00 μB per atom.


Tl2HgTe | SCAN | single point on PBEsol structure

a b c (Å): 6.835 6.835 6.835
angles (deg): 103.64 103.64 121.90
Positions (direct):
Tl  0.125  0.120  0.495
Hg  0.000  0.000  0.000
Te  0.500  0.500  0.000
Hg  0.250  0.750  0.500
Tl  0.880  0.375  0.005
Te  0.750  0.250  0.500
Tl  0.370  0.875  0.995
Tl  0.625  0.630  0.505

Output
Its uncorrected formation energy is -12.2 kJ per mole of atoms. The calculation puts the spin magnetization at 0.00 μB per atom. As for the energy above the most stable polymorph in this dataset: 84 meV/atom.


TlHgTe2 | SCAN | single point on PBEsol structure

a b c (Å): 3.159 3.159 11.510
angles (deg): 90.00 90.00 100.58
Positions (direct):
Tl  0.000  0.000  0.491
Te  0.500  0.500  0.728
Te  0.000  0.000  0.023
Hg  0.500  0.500  0.257

Output
Its uncorrected formation energy is 3.9 kJ per mole of atoms. The calculation puts the spin magnetization at 0.00 μB per atom.


Tl2HgTe | SCAN | single point on PBEsol structure

a b c (Å): 4.778 4.778 6.037
angles (deg): 113.31 113.31 90.00
Positions (direct):
Tl  0.750  0.250  0.500
Tl  0.000  0.000  0.000
Te  0.250  0.750  0.500
Hg  0.500  0.500  0.000

Output
Its uncorrected formation energy is -10.7 kJ per mole of atoms. The calculation puts the spin magnetization at 0.00 μB per atom. As for the energy above the most stable polymorph in this dataset: 99 meV/atom.


TlHg2Te | SCAN | single point on PBEsol structure

a b c (Å): 5.344 5.344 5.344
angles (deg): 60.00 60.00 60.00
Positions (direct):
Te  0.500  0.500  0.500
Hg  0.750  0.750  0.750
Tl  0.250  0.250  0.250
Hg  0.000  0.000  0.000

Output
Its uncorrected formation energy is -4.3 kJ per mole of atoms. The calculation puts the spin magnetization at 0.00 μB per atom. As for the energy above the most stable polymorph in this dataset: 13 meV/atom.


Tl4HgTe | SCAN | single point on PBEsol structure

a b c (Å): 6.339 6.339 6.339
angles (deg): 60.00 60.00 60.00
Positions (direct):
Te  0.000  0.000  0.000
Tl  0.375  0.876  0.375
Tl  0.375  0.375  0.876
Hg  0.750  0.750  0.750
Tl  0.375  0.375  0.375
Tl  0.876  0.375  0.375

Output
Its uncorrected formation energy is 4.7 kJ per mole of atoms. The calculation puts the spin magnetization at 0.00 μB per atom.


Tl2HgTe | SCAN | single point on PBEsol structure

a b c (Å): 3.931 3.931 7.341
angles (deg): 90.00 90.00 90.00
Positions (direct):
Tl  0.000  0.000  0.974
Tl  0.500  0.500  0.281
Hg  0.000  0.000  0.505
Te  0.500  0.500  0.739

Output
Its uncorrected formation energy is -8.4 kJ per mole of atoms. The calculation puts the spin magnetization at 0.00 μB per atom. As for the energy above the most stable polymorph in this dataset: 123 meV/atom.


Tl2HgTe | SCAN | single point on PBEsol structure

a b c (Å): 5.443 5.443 5.443
angles (deg): 60.00 60.00 60.00
Positions (direct):
Tl  0.750  0.750  0.750
Te  0.250  0.250  0.250
Hg  0.500  0.500  0.500
Tl  0.000  0.000  0.000

Output
Its uncorrected formation energy is -7.1 kJ per mole of atoms. The calculation puts the spin magnetization at 0.00 μB per atom. As for the energy above the most stable polymorph in this dataset: 136 meV/atom.


TlHg2Te | SCAN | single point on PBEsol structure

a b c (Å): 4.255 4.300 6.700
angles (deg): 108.72 108.51 90.00
Positions (direct):
Hg  0.005  0.005  0.009
Te  0.499  0.499  0.998
Tl  0.774  0.274  0.548
Hg  0.223  0.723  0.445

Output
Its uncorrected formation energy is -5.5 kJ per mole of atoms. The calculation puts the spin magnetization at 0.00 μB per atom. As for the energy above the most stable polymorph in this dataset: 0 meV/atom.


TlHgTe2 | SCAN | single point on PBEsol structure

a b c (Å): 3.166 5.850 6.256
angles (deg): 90.00 100.91 90.00
Positions (direct):
Te  0.000  0.000  0.249
Tl  0.500  0.500  0.000
Hg  0.500  0.500  0.500
Te  0.000  0.000  0.751

Output
Its uncorrected formation energy is -2.9 kJ per mole of atoms. The calculation puts the spin magnetization at 0.00 μB per atom.


Tl2HgTe | SCAN | single point on PBEsol structure

a b c (Å): 3.888 3.888 7.606
angles (deg): 90.00 90.00 90.00
Positions (direct):
Tl  0.000  0.000  0.257
Hg  0.500  0.500  0.000
Tl  0.000  0.000  0.743
Te  0.500  0.500  0.500

Output
Its uncorrected formation energy is -13.2 kJ per mole of atoms. The calculation puts the spin magnetization at 0.00 μB per atom. As for the energy above the most stable polymorph in this dataset: 74 meV/atom.


Tl2HgTe | SCAN | single point on PBEsol structure

a b c (Å): 5.516 5.516 5.516
angles (deg): 60.00 60.00 60.00
Positions (direct):
Tl  0.250  0.250  0.250
Hg  0.000  0.000  0.000
Te  0.500  0.500  0.500
Tl  0.750  0.750  0.750

Output
Its uncorrected formation energy is -18.4 kJ per mole of atoms. The calculation puts the spin magnetization at 0.00 μB per atom. As for the energy above the most stable polymorph in this dataset: 20 meV/atom.


HgTe2W | SCAN | single point on PBEsol structure

a b c (Å): 3.495 5.055 5.055
angles (deg): 105.19 90.00 90.00
Each line ends with the local moment (μB).
Positions (direct):
Hg  0.500  0.500  0.500  0.00
Te  0.000  0.500  0.000  -0.04
Te  0.000  0.000  0.500  -0.04
W  0.500  0.000  0.000  1.21

Output
Its uncorrected formation energy is 94.0 kJ per mole of atoms. The calculation puts the spin magnetization at 0.36 μB per atom.


HgTe4W | SCAN | single point on PBEsol structure

a b c (Å): 6.176 6.176 6.176
angles (deg): 60.00 60.00 60.00
Each line ends with the local moment (μB).
Positions (direct):
Te  0.872  0.376  0.376  -0.07
Te  0.376  0.376  0.376  -0.07
Te  0.376  0.376  0.872  -0.07
W  0.750  0.750  0.750  3.33
Te  0.376  0.872  0.376  -0.07
Hg  0.000  0.000  0.000  0.01

Output
Its uncorrected formation energy is 121.4 kJ per mole of atoms. The calculation puts the spin magnetization at 0.71 μB per atom.


HgTe2W | SCAN | single point on PBEsol structure

a b c (Å): 3.402 5.033 5.033
angles (deg): 90.00 90.00 90.00
Each line ends with the local moment (μB).
Positions (direct):
Hg  0.500  0.000  0.000  0.01
W  0.500  0.500  0.500  1.48
Te  0.000  0.500  0.000  -0.05
Te  0.000  0.000  0.500  -0.05

Output
Its uncorrected formation energy is 101.0 kJ per mole of atoms. The calculation puts the spin magnetization at 0.44 μB per atom.


HgTeW | SCAN | single point on PBEsol structure

a b c (Å): 3.253 3.253 6.978
angles (deg): 90.00 90.00 120.00
Positions (direct):
W  0.333  0.667  0.350
Te  0.667  0.333  0.619
Hg  0.000  0.000  0.032

Output
Its uncorrected formation energy is 54.7 kJ per mole of atoms. The calculation puts the spin magnetization at 0.00 μB per atom.


HgTe2W | SCAN | single point on PBEsol structure

a b c (Å): 3.053 3.053 12.124
angles (deg): 82.77 82.77 60.00
Positions (direct):
W  0.000  0.000  0.000
Te  0.924  0.924  0.227
Te  0.076  0.076  0.773
Hg  0.500  0.500  0.500

Output
Its uncorrected formation energy is 74.5 kJ per mole of atoms. The calculation puts the spin magnetization at 0.00 μB per atom.


YHgTe2 | SCAN | single point on PBEsol structure

a b c (Å): 4.118 4.356 6.393
angles (deg): 90.00 108.79 90.00
Positions (direct):
Te  0.975  0.000  0.949
Y  0.545  0.500  0.091
Hg  0.735  0.000  0.469
Te  0.245  0.500  0.490

Output
Its uncorrected formation energy is -95.7 kJ per mole of atoms. The calculation puts the spin magnetization at 0.00 μB per atom. As for the energy above the most stable polymorph in this dataset: 22 meV/atom.


YHg2Te | SCAN | single point on PBEsol structure

a b c (Å): 4.042 4.042 6.117
angles (deg): 90.00 90.00 89.96
Positions (direct):
Hg  0.000  0.000  0.247
Hg  0.000  0.000  0.753
Te  0.500  0.500  0.500
Y  0.500  0.500  0.000

Output
Its uncorrected formation energy is -44.0 kJ per mole of atoms. The calculation puts the spin magnetization at 0.00 μB per atom.


Y2HgTe | SCAN | single point on PBEsol structure

a b c (Å): 3.670 5.243 5.243
angles (deg): 90.00 90.00 90.00
Each line ends with the local moment (μB).
Positions (direct):
Hg  0.500  0.500  0.500  0.02
Y  0.000  0.000  0.500  0.33
Y  0.000  0.500  0.000  0.33
Te  0.500  0.000  0.000  -0.04

Output
Its uncorrected formation energy is -84.6 kJ per mole of atoms. The calculation puts the spin magnetization at 0.26 μB per atom. As for the energy above the most stable polymorph in this dataset: 233 meV/atom.


YHg2Te | SCAN | single point on PBEsol structure

a b c (Å): 4.087 4.087 8.309
angles (deg): 75.76 75.76 60.00
Positions (direct):
Hg  0.001  0.001  0.997
Y  0.249  0.249  0.253
Te  0.507  0.507  0.478
Hg  0.742  0.742  0.773

Output
Its uncorrected formation energy is -56.6 kJ per mole of atoms. The calculation puts the spin magnetization at 0.00 μB per atom.


YHg2Te | SCAN | single point on PBEsol structure

a b c (Å): 3.904 3.904 6.589
angles (deg): 90.09 90.00 90.00
Positions (direct):
Hg  0.000  0.998  0.015
Te  0.000  0.001  0.528
Hg  0.500  0.498  0.223
Y  0.500  0.502  0.734

Output
Its uncorrected formation energy is -64.1 kJ per mole of atoms. The calculation puts the spin magnetization at 0.00 μB per atom.


YHgTe | SCAN | single point on PBEsol structure

a b c (Å): 5.030 5.030 5.030
angles (deg): 60.00 60.00 60.00
Positions (direct):
Y  0.250  0.250  0.250
Te  0.500  0.500  0.500
Hg  0.000  0.000  0.000

Output
Its uncorrected formation energy is -70.5 kJ per mole of atoms. The calculation puts the spin magnetization at 0.00 μB per atom.


YHgTe2 | SCAN | single point on PBEsol structure

a b c (Å): 4.086 4.086 9.575
angles (deg): 77.68 77.68 60.00
Each line ends with the local moment (μB).
Positions (direct):
Y  0.000  0.000  0.000  0.19
Te  0.104  0.104  0.688  0.12
Hg  0.500  0.500  0.500  0.01
Te  0.896  0.896  0.312  0.12

Output
Its uncorrected formation energy is -1.0 kJ per mole of atoms. The calculation puts the spin magnetization at 0.18 μB per atom. As for the energy above the most stable polymorph in this dataset: 1003 meV/atom.


YHgTe2 | SCAN | single point on PBEsol structure

a b c (Å): 5.288 5.344 5.288
angles (deg): 60.35 90.00 119.65
Positions (direct):
Te  0.250  0.500  0.250
Hg  0.000  0.000  0.000
Y  0.500  0.000  0.500
Te  0.750  0.500  0.750

Output
Its uncorrected formation energy is -67.3 kJ per mole of atoms. The calculation puts the spin magnetization at 0.00 μB per atom. As for the energy above the most stable polymorph in this dataset: 316 meV/atom.


Y2HgTe | SCAN | single point on PBEsol structure

a b c (Å): 4.336 4.336 6.271
angles (deg): 110.22 110.22 90.00
Positions (direct):
Hg  0.500  0.500  0.000
Y  0.000  0.000  0.000
Y  0.750  0.250  0.500
Te  0.250  0.750  0.500

Output
Its uncorrected formation energy is -79.7 kJ per mole of atoms. The calculation puts the spin magnetization at 0.00 μB per atom. As for the energy above the most stable polymorph in this dataset: 283 meV/atom.


Y2HgTe | SCAN | single point on PBEsol structure

a b c (Å): 4.093 4.093 7.972
angles (deg): 75.13 75.13 60.00
Positions (direct):
Y  0.751  0.751  0.748
Te  0.000  0.000  0.000
Y  0.249  0.249  0.252
Hg  0.500  0.500  0.500

Output
Its uncorrected formation energy is -107.1 kJ per mole of atoms. The calculation puts the spin magnetization at 0.00 μB per atom. As for the energy above the most stable polymorph in this dataset: 0 meV/atom.


YHgTe2 | SCAN | single point on PBEsol structure

a b c (Å): 4.265 6.071 10.489
angles (deg): 107.53 91.81 92.56
Positions (direct):
Y  0.230  0.197  0.392
Y  0.770  0.803  0.608
Te  0.298  0.968  0.821
Hg  0.903  0.347  0.058
Hg  0.097  0.653  0.942
Te  0.243  0.691  0.386
Te  0.702  0.032  0.179
Te  0.757  0.309  0.614

Output
Its uncorrected formation energy is -97.8 kJ per mole of atoms. The calculation puts the spin magnetization at 0.00 μB per atom. As for the energy above the most stable polymorph in this dataset: 0 meV/atom.